Rb2TiFeCl6 | PBE | optimized geometry

Lattice parameters (Å, degrees): 7.0936 7.0936 7.0910 59.99 59.99 90.00
With the nearest neighbours (Å) after each atom.
Element x y z (fractional)
Cl (0.7493, 0.7493, 0.5015)  1 Ti 2.50, 1 Fe 2.51
Cl (0.2507, 0.2507, 0.4985)  1 Ti 2.50, 1 Fe 2.51
Cl (0.7490, 0.2510, 0.0000)  1 Ti 2.50, 1 Fe 2.52
Cl (0.7490, 0.7490, 0.0000)  1 Ti 2.50, 1 Fe 2.52
Cl (0.2510, 0.2510, 0.0000)  1 Ti 2.50, 1 Fe 2.52
Cl (0.2510, 0.7490, 0.0000)  1 Ti 2.50, 1 Fe 2.52
Rb (0.7500, 0.2500, 0.5000)  12 Cl 3.55
Rb (0.2500, 0.7500, 0.5000)  12 Cl 3.55
Fe (0.0000, 0.0000, 0.0000)  6 Cl 2.51-2.52
Ti (0.5000, 0.5000, 0.0000)  6 Cl 2.50

Summary:
SG: I4/mmm, No. 139

RbTiFeCl6 | PBE | optimized geometry

Lattice parameters (Å, degrees): 6.2539 6.2538 7.5999 91.46 88.53 61.27
With the nearest neighbours (Å) after each atom.
Element x y z (fractional)
Cl (0.3778, 0.6175, 0.2946)  1 Fe 2.38, 1 Ti 2.40
Cl (0.6175, 0.3778, 0.7054)  1 Fe 2.38, 1 Ti 2.40
Cl (0.3550, 0.0117, 0.6750)  1 Fe 2.46, 1 Ti 2.50
Cl (0.6410, 0.0010, 0.3220)  1 Ti 2.41, 1 Fe 2.62
Cl (0.0010, 0.6411, 0.6780)  1 Ti 2.41, 1 Fe 2.62
Cl (0.0117, 0.3551, 0.3250)  1 Fe 2.46, 1 Ti 2.50
Ti (0.3473, 0.3473, 0.5000)  6 Cl 2.40-2.50
Rb (0.0033, 0.0032, 0.0000)  6 Cl 3.28-3.38
Fe (0.6452, 0.6452, 0.5000)  6 Cl 2.38-2.62

Summary:
SG: C2, No. 5

RbTlFeCl4 | PBE | optimized geometry

Lattice parameters (Å, degrees): 7.2727 7.2160 9.1357 90.00 108.25 90.00
With the nearest neighbours (Å) after each atom.
Element x y z (fractional)
Cl (0.6265, 0.2500, 0.4519)  1 Fe 2.29
Cl (0.5774, 0.2500, 0.8615)  1 Fe 2.28
Cl (0.3735, 0.7500, 0.5481)  1 Fe 2.29
Cl (0.4226, 0.7500, 0.1385)  1 Fe 2.28
Cl (0.9903, 0.0038, 0.7752)  1 Fe 2.31
Cl (0.0097, 0.9962, 0.2248)  1 Fe 2.31
Cl (0.0097, 0.5038, 0.2248)  1 Fe 2.31
Cl (0.9903, 0.4962, 0.7752)  1 Fe 2.31
Rb (0.7894, 0.7500, 0.4557)  6 Cl 3.27-3.51
Rb (0.2106, 0.2500, 0.5443)  6 Cl 3.27-3.51
Fe (0.2224, 0.7500, 0.2873)  4 Cl 2.28-2.31
Fe (0.7776, 0.2500, 0.7127)  4 Cl 2.28-2.31
Tl (0.7278, 0.7500, 0.9347)  6 Cl 3.30-3.66
Tl (0.2722, 0.2500, 0.0653)  6 Cl 3.30-3.66

Summary:
SG: P2_1/m, No. 11

Rb3TlFe2Cl9 | PBE | optimized geometry

Lattice parameters (Å, degrees): 7.1976 7.1976 10.1770 90.00 90.00 120.00
With the nearest neighbours (Å) after each atom.
Element x y z (fractional)
Cl (0.8260, 0.6521, 0.7213)  1 Fe 2.34
Cl (0.1740, 0.3479, 0.2787)  1 Fe 2.34
Cl (0.0000, 0.5000, 0.0000)  2 Fe 2.62
Cl (0.5000, 0.5000, 0.0000)  2 Fe 2.62
Cl (0.5000, 0.0000, 0.0000)  2 Fe 2.62
Cl (0.6521, 0.8260, 0.2787)  1 Fe 2.34
Cl (0.1740, 0.8260, 0.2787)  1 Fe 2.34
Cl (0.8260, 0.1740, 0.7213)  1 Fe 2.34
Cl (0.3479, 0.1740, 0.7213)  1 Fe 2.34
Fe (0.6667, 0.3333, 0.8434)  6 Cl 2.34-2.62
Fe (0.3333, 0.6667, 0.1566)  6 Cl 2.34-2.62
Rb (0.0000, 0.0000, 0.0000)  12 Cl 3.57-3.60
Rb (0.6667, 0.3333, 0.2622)  9 Cl 3.38-3.60
Rb (0.3333, 0.6667, 0.7378)  9 Cl 3.38-3.60
Tl (0.0000, 0.0000, 0.5000)  6 Cl 3.13

Summary:
SG: P-3m1, No. 164

RbTlFeCl6 | PBE | optimized geometry

Lattice parameters (Å, degrees): 6.8039 6.8039 7.2355 90.00 90.00 60.00
With the nearest neighbours (Å) after each atom.
Element x y z (fractional)
Cl (0.6458, 0.9671, 0.3031)  1 Fe 2.44
Cl (0.6458, 0.3870, 0.6968)  1 Fe 2.44
Cl (0.3870, 0.9671, 0.6968)  1 Fe 2.44
Cl (0.9671, 0.6459, 0.6968)  1 Fe 2.44
Cl (0.3870, 0.6459, 0.3031)  1 Fe 2.44
Cl (0.9671, 0.3870, 0.3031)  1 Fe 2.44
Rb (0.0000, 0.0000, 0.0000)  6 Cl 3.35
Tl (0.3333, 0.3333, 0.5000)  6 Cl 2.73
Fe (0.6666, 0.6667, 0.5000)  6 Cl 2.44

Summary:
SG: P312, No. 149

Rb3TlFe2Cl8 | PBE | optimized geometry

Lattice parameters (Å, degrees): 7.7500 7.7500 9.4106 90.00 90.00 120.00
With the nearest neighbours (Å) after each atom.
Element x y z (fractional)
Cl (0.8231, 0.6463, 0.7065)  1 Fe 2.31
Cl (0.6667, 0.3333, 0.0464)  1 Fe 2.24
Cl (0.8231, 0.1769, 0.7065)  1 Fe 2.31
Cl (0.6463, 0.8231, 0.2935)  1 Fe 2.31
Cl (0.3537, 0.1769, 0.7065)  1 Fe 2.31
Cl (0.3333, 0.6667, 0.9536)  1 Fe 2.24
Cl (0.1769, 0.8231, 0.2935)  1 Fe 2.31
Cl (0.1769, 0.3537, 0.2935)  1 Fe 2.31
Fe (0.3333, 0.6667, 0.1911)  4 Cl 2.24-2.31
Fe (0.6667, 0.3333, 0.8089)  4 Cl 2.24-2.31
Tl (0.0000, 0.0000, 0.5000)  6 Cl 3.07
Rb (0.0000, 0.0000, 0.0000)  6 Cl 3.64
Rb (0.3333, 0.6667, 0.6199)  1 Cl 3.14
Rb (0.6667, 0.3333, 0.3801)  1 Cl 3.14

Summary:
SG: P-3m1, No. 164

RbVFeCl6 | PBE | optimized geometry

Lattice parameters (Å, degrees): 6.1858 6.1859 7.4206 90.00 90.00 60.00
With the nearest neighbours (Å) after each atom.
Element x y z (fractional)
Cl (0.3643, 0.6225, 0.3213)  1 Fe 2.31, 1 V 2.42
Cl (0.6226, 0.0131, 0.3213)  1 Fe 2.31, 1 V 2.42
Cl (0.0132, 0.6225, 0.6787)  1 Fe 2.31, 1 V 2.42
Cl (0.6224, 0.3644, 0.6787)  1 Fe 2.31, 1 V 2.42
Cl (0.0130, 0.3644, 0.3212)  1 Fe 2.31, 1 V 2.42
Cl (0.3643, 0.0132, 0.6787)  1 Fe 2.31, 1 V 2.42
Rb (0.0000, 0.0000, 0.0000)  6 Cl 3.31
V (0.6667, 0.6667, 0.5000)  6 Cl 2.42
Fe (0.3333, 0.3333, 0.5000)  6 Cl 2.31

Summary:
SG: P312, No. 149

RbVFe2Cl8 | PBE | optimized geometry

Lattice parameters (Å, degrees): 6.2917 6.2917 9.4997 85.28 85.28 68.24
With the nearest neighbours (Å) after each atom.
Element x y z (fractional)
Cl (0.7717, 0.2557, 0.8126)  1 Fe 2.32, 1 V 2.46
Cl (0.7443, 0.2283, 0.1874)  1 Fe 2.32, 1 V 2.46
Cl (0.2328, 0.2328, 0.9987)  1 Fe 2.28, 1 V 2.42
Cl (0.6869, 0.6869, 0.4137)  1 Fe 2.21
Cl (0.7672, 0.7672, 0.0013)  1 Fe 2.28, 1 V 2.42
Cl (0.2557, 0.7717, 0.8126)  1 Fe 2.32, 1 V 2.46
Cl (0.3131, 0.3131, 0.5863)  1 Fe 2.21
Cl (0.2283, 0.7443, 0.1874)  1 Fe 2.32, 1 V 2.46
Fe (0.3767, 0.3767, 0.8016)  4 Cl 2.21-2.32
Fe (0.6233, 0.6233, 0.1984)  4 Cl 2.21-2.32
Rb (0.0000, 0.0000, 0.5000)  6 Cl 3.44
V (0.0000, 0.0000, 0.0000)  6 Cl 2.42-2.46

Summary:
SG: C2/m, No. 12

Rb2FeWCl6 | PBE | optimized geometry

Lattice parameters (Å, degrees): 7.3778 7.3778 6.9203 57.79 57.79 90.00
With the nearest neighbours (Å) after each atom.
Element x y z (fractional)
Rb (0.7500, 0.2500, 0.5000)  12 Cl 3.46-3.69
Rb (0.2500, 0.7500, 0.5000)  12 Cl 3.46-3.69
W (0.0000, 0.0000, 0.0000)  6 Cl 2.36-2.49
Cl (0.2591, 0.2591, 0.4817)  1 Fe 2.19, 1 W 2.36
Cl (0.2388, 0.7612, 0.0000)  1 W 2.49, 1 Fe 2.73
Cl (0.7612, 0.2388, 0.0000)  1 W 2.49, 1 Fe 2.73
Cl (0.7409, 0.7409, 0.5183)  1 Fe 2.19, 1 W 2.36
Cl (0.7612, 0.7612, 0.0000)  1 W 2.49, 1 Fe 2.73
Cl (0.2388, 0.2388, 0.0000)  1 W 2.49, 1 Fe 2.73
Fe (0.5000, 0.5000, 0.0000)  2 Cl 2.19

Summary:
SG: I4/mmm, No. 139

RbYFe2Cl | PBE | optimized geometry

Lattice parameters (Å, degrees): 5.2932 5.2932 5.5800 90.00 90.00 90.00
With the nearest neighbours (Å) after each atom.
Element x y z (fractional)
Cl (0.0000, 0.0000, 0.5000)  2 Y 2.79
Fe (0.5000, 0.0000, 0.0000)  2 Y 2.65
Fe (0.0000, 0.5000, 0.0000)  2 Y 2.65
Rb (0.5000, 0.5000, 0.5000)  4 Cl 3.74, 8 Fe 3.85
Y (0.0000, 0.0000, 0.0000)  4 Fe 2.65, 2 Cl 2.79

Summary:
SG: P4/mmm, No. 123

RbZnFe2Cl8 | PBE | optimized geometry

Lattice parameters (Å, degrees): 6.7475 7.4386 9.2169 62.98 68.53 63.03
With the nearest neighbours (Å) after each atom.
Element x y z (fractional)
Rb (0.5000, 0.5000, 0.5000)  6 Cl 3.40-3.72
Cl (0.6655, 0.9782, 0.2061)  1 Fe 2.33, 1 Zn 2.38
Cl (0.8499, 0.0218, 0.7939)  1 Fe 2.33, 1 Zn 2.38
Cl (0.1501, 0.9782, 0.2061)  1 Fe 2.33, 1 Zn 2.38
Cl (0.8578, 0.6417, 0.6427)  1 Fe 2.20
Cl (0.3125, 0.4712, 0.9038)  1 Fe 2.19
Cl (0.1422, 0.3583, 0.3573)  1 Fe 2.20
Cl (0.6875, 0.5288, 0.0962)  1 Fe 2.19
Cl (0.3345, 0.0218, 0.7939)  1 Fe 2.33, 1 Zn 2.38
Zn (0.0000, 0.0000, 0.0000)  4 Cl 2.38
Fe (0.6911, 0.7722, 0.8456)  4 Cl 2.19-2.33
Fe (0.3089, 0.2278, 0.1544)  4 Cl 2.19-2.33

Summary:
SG: C2/m, No. 12

Rb2ZrFeCl6 | PBE | optimized geometry

Lattice parameters (Å, degrees): 7.5909 7.5909 7.0346 57.35 57.35 90.00
With the nearest neighbours (Å) after each atom.
Element x y z (fractional)
Cl (0.7578, 0.7578, 0.0000)  1 Zr 2.60, 1 Fe 2.77
Cl (0.7360, 0.7360, 0.5279)  1 Fe 2.15, 1 Zr 2.40
Cl (0.2422, 0.7578, 0.0000)  1 Zr 2.60, 1 Fe 2.77
Cl (0.2640, 0.2640, 0.4721)  1 Fe 2.15, 1 Zr 2.40
Cl (0.2422, 0.2422, 0.0000)  1 Zr 2.60, 1 Fe 2.77
Cl (0.7578, 0.2422, 0.0000)  1 Zr 2.60, 1 Fe 2.77
Fe (0.5000, 0.5000, 0.0000)  2 Cl 2.15
Rb (0.2500, 0.7500, 0.5000)  12 Cl 3.52-3.80
Rb (0.7500, 0.2500, 0.5000)  12 Cl 3.52-3.80
Zr (0.0000, 0.0000, 0.0000)  6 Cl 2.40-2.60

Summary:
SG: I4/mmm, No. 139

Computed E_form (uncorrected) (eV/f.u.) in order:
-13.957; -12.484; -8.172; -18.926; -9.205; -17.809; -10.166; -12.743; -9.296; 2.666; -11.958; -13.758